No. 1
Below is a relaxed structure of Dy4SnS2, with properties calculated at the PBE level.

For the volume, the calculation gives 697.49 Å³/cell. The total energy is -5.77 eV per atom.

It has space group Cmcm (No. 63), with a = 3.995 Å, b = 13.062 Å, c = 13.366 Å, α = 90.00°, β = 90.00° and γ = 90.00°. The asymmetric unit holds Dy at (0.000, 0.000, 0.000), Dy at (0.000, 0.265, 0.117), Dy at (0.000, 0.430, 0.750), Sn at (0.000, 0.107, 0.750) and S at (0.000, 0.366, 0.558).

=====

No. 2
Below is a relaxed structure of Dy2SnS4, with properties calculated at the PBE level.

For the volume, the calculation gives 375.86 Å³/cell. The total energy is -5.81 eV per atom.

It has space group C2/m (No. 12), with a = 15.037 Å, b = 4.004 Å, c = 6.919 Å, α = 90.00°, β = 115.53° and γ = 90.00°. The asymmetric unit holds Dy at (0.228, 0.000, 0.220), Sn at (0.000, 0.500, 0.500), S at (0.135, 0.500, 0.951) and S at (0.146, 0.000, 0.503).

=====

No. 3
Below is a relaxed structure of Dy2SnS5, with properties calculated at the PBE level.

The value obtained for the energy above the lowest structure with this stoichiometry is 0 meV/atom. For the volume, the calculation gives 336.39 Å³/cell. The total energy is -5.65 eV per atom.

It has space group Pbam (No. 55), with a = 7.750 Å, b = 11.387 Å, c = 3.812 Å, α = 90.00°, β = 90.00° and γ = 90.00°. The asymmetric unit holds Dy at (0.025, 0.173, 0.000), Sn at (0.000, 0.500, 0.500), S at (0.000, 0.000, 0.500), S at (0.168, 0.400, 0.000) and S at (0.179, 0.695, 0.500).

=====

No. 4
Below is a relaxed structure of DySn2S4, with properties calculated at the PBE level.

For the volume, the calculation gives 668.70 Å³/cell. The total energy is -5.08 eV per atom.

It has space group Cmcm (No. 63), with a = 3.801 Å, b = 13.239 Å, c = 13.288 Å, α = 90.00°, β = 90.00° and γ = 90.00°. The asymmetric unit holds Dy at (0.000, 0.118, 0.250), Sn at (0.000, 0.369, 0.069), S at (0.000, 0.000, 0.000), S at (0.000, 0.285, 0.625) and S at (0.000, 0.471, 0.250).